Compound: RePb3
Source: Alexandria via LeMat-Bulk
Functional: PBE
Structure: relaxed

Output
- E above lowest polymorph: 566 meV per atom
- Formation energy from the elements: 0.985 eV per atom
- Electronic total energy: -78.54 eV for the cell shown
- Volume: 25.518 A^3/atom

Cell lengths 4.506, 4.506, 20.104 Å; angles 90.00, 90.00, 90.00 degrees
Space group I4/mmm (No. 139)
Unique sites:
Re 0.000 0.000 0.157 (multiplicity 4)
Pb 0.000 0.000 0.377 (multiplicity 4)
Pb 0.000 0.500 0.000 (multiplicity 4)
Pb 0.000 0.500 0.250 (multiplicity 4)

Compound: MgMoIr4
Source: Alexandria via LeMat-Bulk
Functional: PBE
Structure: relaxed

Output
- Formation energy from the elements: 0.084 eV per atom
- Electronic total energy: -189.47 eV for the cell shown
- Volume: 16.200 A^3/atom

Cell lengths 7.299, 7.299, 7.299 Å; angles 90.00, 90.00, 90.00 degrees
Space group F-43m (No. 216)
Unique sites:
Mg 0.000 0.000 0.000 (multiplicity 4)
Mo 0.250 0.250 0.250 (multiplicity 4)
Ir 0.125 0.125 0.625 (multiplicity 16)